# 1
# Hf2NiHOs

A geometry-optimized Hf2NiHOs structure (PBE, the Alexandria database).

As for the calculated total energy: -41.97 eV per formula unit. The calculation puts the size of the total moment at 0.0 μB/f.u.

It has space group P4/mmm (No. 123), with a = 4.4403 Å, b = 4.4403 Å, c = 3.5774 Å, α = 90.00°, β = 90.00° and γ = 90.00°. The distinct sites, in fractional coordinates, are Hf at (0.0000, 0.5000, 0.0000), Ni at (0.0000, 0.0000, 0.5000), H at (0.5000, 0.5000, 0.0000) and Os at (0.5000, 0.5000, 0.5000).

***

# 2
# Hf2NiHOs

A geometry-optimized Hf2NiHOs structure (PBE, the Alexandria database).

As for the calculated total energy: -42.73 eV per formula unit. The calculation puts the size of the total moment at 0.0 μB/f.u.

It has space group P4/mmm (No. 123), with a = 4.5783 Å, b = 4.5783 Å, c = 3.3013 Å, α = 90.00°, β = 90.00° and γ = 90.00°. The distinct sites, in fractional coordinates, are Hf at (0.0000, 0.5000, 0.0000), Ni at (0.0000, 0.0000, 0.5000), H at (0.0000, 0.0000, 0.0000) and Os at (0.5000, 0.5000, 0.5000).

***

# 3
# HfNi2HPd

A geometry-optimized HfNi2HPd structure (PBE, the Alexandria database).

As for the calculated total energy: -31.61 eV per formula unit. The calculation puts the size of the total moment at 0.0 μB/f.u.

It has space group P4/mmm (No. 123), with a = 3.9677 Å, b = 3.9677 Å, c = 3.7812 Å, α = 90.00°, β = 90.00° and γ = 90.00°. The distinct sites, in fractional coordinates, are Hf at (0.0000, 0.0000, 0.0000), Ni at (0.0000, 0.5000, 0.5000), H at (0.5000, 0.5000, 0.5000) and Pd at (0.5000, 0.5000, 0.0000).

***

- Which value of calculated total energy does entry 1 give?
  -41.97 eV per formula unit